# Ba2VCl | the Alexandria database | PBE-GGA | optimized geometry
data_Ba2VCl
_chemical_formula_sum 'Ba8 V4 Cl4'
_space_group_name_H-M_alt 'P 1'
_space_group_IT_number 1
_cell_length_a 8.341
_cell_length_b 8.341
_cell_length_c 8.341
_cell_angle_alpha 90.00
_cell_angle_beta 90.00
_cell_angle_gamma 90.00
loop_
_space_group_symop_operation_xyz
'x,y,z'
loop_
_atom_site_label
_atom_site_type_symbol
_atom_site_fract_x
_atom_site_fract_y
_atom_site_fract_z
Ba1 Ba 0.250 0.250 0.250
Ba2 Ba 0.250 0.250 0.750
Ba3 Ba 0.250 0.750 0.250
Ba4 Ba 0.250 0.750 0.750
Ba5 Ba 0.750 0.250 0.250
Ba6 Ba 0.750 0.250 0.750
Ba7 Ba 0.750 0.750 0.250
Ba8 Ba 0.750 0.750 0.750
V1 V 0.000 0.000 0.000
V2 V 0.000 0.500 0.500
V3 V 0.500 0.000 0.500
V4 V 0.500 0.500 0.000
Cl1 Cl 0.000 0.000 0.500
Cl2 Cl 0.000 0.500 0.000
Cl3 Cl 0.500 0.000 0.000
Cl4 Cl 0.500 0.500 0.500
# DOS(E_F), states/eV per cell: 10.65
# Excess energy over the best structure of this formula in the dataset, eV/f.u.: 0.188
# Total DFT energy (no corrections), eV/cell: -60.63
# Formation energy from raw total energies, meV per atom: -87